Here is a geometry-optimized ErHfAgPd structure from Alexandria via LeMat-Bulk. Energies are from PBE.

Computed properties:
space-group type	F-43m
DOS(E_F)	2.19	states/eV/f.u.
E_form	-0.3800	eV/atom

Lattice parameters (Å, degrees): 4.878 4.878 4.878 60.00 60.00 60.00
Atoms (fractional coordinates):
Ag: 0.250 0.250 0.250
Er: 0.000 0.000 0.000
Hf: 0.500 0.500 0.500
Pd: 0.750 0.750 0.750

Here is a geometry-optimized Ba4Li2I structure from Alexandria via LeMat-Bulk. Energies are from PBE.

Computed properties:
raw total energy	-2.0322	eV per atom
space-group type	I4/mmm
DOS(E_F)	11.01	states/eV/f.u.

Lattice parameters (Å, degrees): 6.757 6.757 9.666 69.54 69.54 90.00
Atoms (fractional coordinates):
I: 0.000 0.000 0.000
Ba: 0.500 0.000 0.000
Li: 0.587 0.587 0.827
Ba: 0.210 0.210 0.580
Li: 0.413 0.413 0.173
Ba: 0.000 0.500 0.000
Ba: 0.790 0.790 0.420

Per-record magnetic moment, μB/cell: 0.00 1.20
Per-record calculated density, kg/m3: 11327 2987